[1]
Here is an optimized crystal structure of Zn2GaCu8 from the Alexandria database. Energies are from PBE.

Summary:
- Formation enthalpy at 0 K: 52 meV per atom
- E above lowest polymorph: 0.73 eV/f.u.

Cell: 4.404 6.705 6.812 Å, 60.52 74.28 56.60°
Sites, in units of the cell vectors:
Cu 0.312 0.418 0.000
Cu 0.500 0.793 0.414
Cu 0.151 0.665 0.236
Cu 0.151 0.901 0.764
Cu 0.688 0.582 0.000
Cu 0.849 0.099 0.236
Cu 0.500 0.207 0.586
Cu 0.849 0.335 0.764
Zn 0.000 0.692 0.616
Zn 0.000 0.308 0.384
Ga 0.500 0.000 0.000


[2]
Here is an optimized crystal structure of ZrTiNbRe from the Alexandria database. Energies are from PBE.

Summary:
- Formation enthalpy at 0 K: -117 meV per atom

Cell: 4.642 4.642 4.642 Å, 60.00 60.00 60.00°
Sites, in units of the cell vectors:
Zr 0.500 0.500 0.500
Ti 0.250 0.250 0.250
Nb 0.000 0.000 0.000
Re 0.750 0.750 0.750


[3]
Here is an optimized crystal structure of PmPrZnCd from the Alexandria database. Energies are from PBE.

Summary:
- Formation enthalpy at 0 K: -295 meV per atom
- E above lowest polymorph: 0.10 eV/f.u.

Cell: 5.341 5.341 5.341 Å, 60.00 60.00 60.00°
Sites, in units of the cell vectors:
Zn 0.250 0.250 0.250
Cd 0.750 0.750 0.750
Pr 0.000 0.000 0.000
Pm 0.500 0.500 0.500


[4]
Here is an optimized crystal structure of Be3TePd from the Alexandria database. Energies are from PBE.

Summary:
- E above lowest polymorph: 0.00 eV/f.u.
- Energy relative to the elements, uncorrected: 0.442 eV per atom

Cell: 4.354 4.354 4.354 Å, 90.00 90.00 90.00°
Sites, in units of the cell vectors:
Be 0.000 0.000 0.500
Be 0.500 0.000 0.000
Be 0.000 0.500 0.000
Te 0.500 0.500 0.500
Pd 0.000 0.000 0.000


[5]
Here is an optimized crystal structure of KCu6Cl8 from the Alexandria database. Energies are from PBE.

Summary:
- E above lowest polymorph: 2.33 eV/f.u.
- Energy relative to the elements, uncorrected: -0.498 eV per atom

Cell: 8.289 8.289 8.289 Å, 60.00 60.00 60.00°
Sites, in units of the cell vectors:
Cl 0.852 0.445 0.852
Cl 0.148 0.555 0.148
Cl 0.148 0.148 0.148
Cl 0.852 0.852 0.852
Cl 0.148 0.148 0.555
Cl 0.555 0.148 0.148
Cl 0.852 0.852 0.445
Cl 0.445 0.852 0.852
Cu 0.000 0.500 0.000
Cu 0.000 0.000 0.500
Cu 0.500 0.500 0.000
Cu 0.500 0.000 0.000
Cu 0.000 0.500 0.500
Cu 0.500 0.000 0.500
K 0.000 0.000 0.000


[6]
Here is an optimized crystal structure of CaMoRh2 from the Alexandria database. Energies are from PBE.

Summary:
- Formation enthalpy at 0 K: 267 meV per atom
- E above lowest polymorph: 1.64 eV/f.u.

Cell: 7.281 7.281 5.937 Å, 52.18 52.18 90.00°
Sites, in units of the cell vectors:
Rh 0.375 0.323 0.750
Rh 0.875 0.927 0.750
Rh 0.677 0.125 0.250
Rh 0.073 0.625 0.250
Mo 0.000 0.000 0.000
Mo 0.750 0.250 0.500
Ca 0.250 0.750 0.500
Ca 0.500 0.500 0.000


[7]
Here is an optimized crystal structure of Ca2PmCd5 from the Alexandria database. Energies are from PBE.

Summary:
- Formation enthalpy at 0 K: -314 meV per atom

Cell: 5.295 5.295 8.371 Å, 108.44 108.44 90.00°
Sites, in units of the cell vectors:
Cd 0.380 0.880 0.760
Cd 0.620 0.120 0.240
Cd 0.880 0.380 0.760
Cd 0.120 0.620 0.240
Cd 0.500 0.500 0.000
Pm 0.000 0.000 0.000
Ca 0.741 0.741 0.482
Ca 0.259 0.259 0.518


[8]
Here is an optimized crystal structure of PrU2O6 from the Alexandria database. Energies are from PBE.

Summary:
- Energy relative to the elements, uncorrected: -3.360 eV per atom

Cell: 3.892 3.892 9.383 Å, 90.00 90.00 120.00°
Sites, in units of the cell vectors:
O 0.333 0.667 0.896
O 0.667 0.333 0.578
O 0.000 0.000 0.272
O 0.000 0.000 0.728
O 0.333 0.667 0.422
O 0.667 0.333 0.104
U 0.667 0.333 0.335
U 0.333 0.667 0.665
Pr 0.000 0.000 0.000


[9]
Here is an optimized crystal structure of Zn2CdAu from the Alexandria database. Energies are from PBE.

Summary:
- Formation enthalpy at 0 K: 9 meV per atom
- E above lowest polymorph: 0.41 eV/f.u.

Cell: 9.080 9.080 9.080 Å, 19.26 19.26 19.26°
Sites, in units of the cell vectors:
Cd 0.748 0.748 0.748
Zn 0.252 0.252 0.252
Zn 0.993 0.993 0.993
Au 0.507 0.507 0.507


[10]
Here is an optimized crystal structure of AcSnGeBi from the Alexandria database. Energies are from PBE.

Summary:
- Formation enthalpy at 0 K: -218 meV per atom

Cell: 5.537 5.537 5.537 Å, 60.00 60.00 60.00°
Sites, in units of the cell vectors:
Bi 0.500 0.500 0.500
Ge 0.750 0.750 0.750
Sn 0.250 0.250 0.250
Ac 0.000 0.000 0.000


[11]
Here is an optimized crystal structure of RbCeCl3 from the Alexandria database. Energies are from PBE.

Summary:
- Energy relative to the elements, uncorrected: -1.960 eV per atom

Cell: 4.087 9.304 16.228 Å, 90.00 90.00 90.00°
Sites, in units of the cell vectors:
Cl 0.250 0.541 0.378
Cl 0.750 0.334 0.011
Cl 0.250 0.283 0.800
Cl 0.750 0.834 0.489
Cl 0.750 0.959 0.878
Cl 0.250 0.666 0.989
Cl 0.750 0.459 0.622
Cl 0.250 0.041 0.122
Cl 0.250 0.783 0.700
Cl 0.250 0.166 0.511
Cl 0.750 0.217 0.300
Cl 0.750 0.717 0.200
Ce 0.250 0.139 0.953
Ce 0.750 0.861 0.047
Ce 0.250 0.639 0.547
Ce 0.750 0.361 0.453
Rb 0.750 0.074 0.678
Rb 0.250 0.926 0.322
Rb 0.250 0.426 0.178
Rb 0.750 0.574 0.822


[12]
Here is an optimized crystal structure of RbCaPS4 from the Alexandria database. Energies are from PBE.

Summary:
- Energy relative to the elements, uncorrected: -1.144 eV per atom

Cell: 6.530 6.728 9.038 Å, 90.00 107.56 90.00°
Sites, in units of the cell vectors:
S 0.392 0.750 0.555
S 0.006 0.993 0.286
S 0.994 0.007 0.714
S 0.608 0.250 0.445
S 0.603 0.250 0.818
S 0.397 0.750 0.182
S 0.006 0.507 0.286
S 0.994 0.493 0.714
P 0.208 0.750 0.327
P 0.792 0.250 0.673
Rb 0.732 0.750 0.933
Rb 0.268 0.250 0.067
Ca 0.234 0.250 0.547
Ca 0.766 0.750 0.453


[13]
Here is an optimized crystal structure of PaTe2O6 from the Alexandria database. Energies are from PBE.

Summary:
- Energy relative to the elements, uncorrected: -1.842 eV per atom

Cell: 6.731 6.109 9.643 Å, 89.99 90.00 90.00°
Sites, in units of the cell vectors:
O 0.113 0.263 0.645
O 0.713 0.000 0.613
O 0.613 0.763 0.855
O 0.287 0.000 0.387
O 0.887 0.263 0.355
O 0.787 0.500 0.113
O 0.887 0.737 0.355
O 0.213 0.500 0.887
O 0.613 0.237 0.855
O 0.113 0.737 0.645
O 0.387 0.763 0.145
O 0.387 0.237 0.145
Te 0.991 0.500 0.249
Te 0.009 0.500 0.751
Te 0.491 0.000 0.251
Te 0.509 0.000 0.749
Pa 0.500 0.500 0.000
Pa 0.000 0.000 0.500


[14]
Here is an optimized crystal structure of Re2SbSe from the Alexandria database. Energies are from PBE.

Summary:
- E above lowest polymorph: 1.96 eV/f.u.
- Energy relative to the elements, uncorrected: 0.673 eV per atom

Cell: 4.543 4.543 3.204 Å, 90.00 90.00 90.00°
Sites, in units of the cell vectors:
Sb 0.500 0.000 0.500
Re 0.000 0.000 0.000
Re 0.500 0.500 0.000
Se 0.000 0.500 0.500


[15]
Here is an optimized crystal structure of BeTcH2 from the Alexandria database. Energies are from PBE.

Summary:
- E above lowest polymorph: 0.78 eV/f.u.

Cell: 3.388 3.388 3.388 Å, 60.00 60.00 60.00°
Sites, in units of the cell vectors:
Be 0.000 0.000 0.000
H 0.750 0.750 0.750
H 0.250 0.250 0.250
Tc 0.500 0.500 0.500


[16]
Here is an optimized crystal structure of Pm3HoMg4 from the Alexandria database. Energies are from PBE.

Summary:
- Formation enthalpy at 0 K: -96 meV per atom

Cell: 3.837 3.837 15.422 Å, 90.00 90.00 90.00°
Sites, in units of the cell vectors:
Pm 0.500 0.500 0.246
Pm 0.500 0.500 0.754
Pm 0.500 0.500 0.500
Ho 0.500 0.500 0.000
Mg 0.000 0.000 0.881
Mg 0.000 0.000 0.627
Mg 0.000 0.000 0.373
Mg 0.000 0.000 0.119


[17]
Here is an optimized crystal structure of HgMoW2 from the Alexandria database. Energies are from PBE.

Summary:
- Formation enthalpy at 0 K: 661 meV per atom

Cell: 2.739 2.739 9.213 Å, 90.00 90.00 90.00°
Sites, in units of the cell vectors:
W 0.000 0.000 0.507
W 0.000 0.000 0.993
Hg 0.500 0.500 0.250
Mo 0.500 0.500 0.750


[18]
Here is an optimized crystal structure of InRhN2 from the Alexandria database. Energies are from PBE.

Summary:
- Energy relative to the elements, uncorrected: 0.640 eV per atom

Cell: 6.628 6.628 6.628 Å, 27.36 27.36 27.36°
Sites, in units of the cell vectors:
N 0.114 0.114 0.114
N 0.886 0.886 0.886
Rh 0.500 0.500 0.500
In 0.000 0.000 0.000


[19]
Here is an optimized crystal structure of SiBAu3 from the Alexandria database. Energies are from PBE.

Summary:
- E above lowest polymorph: 0.00 eV/f.u.
- Energy relative to the elements, uncorrected: 0.490 eV per atom

Cell: 4.415 4.415 4.415 Å, 90.00 90.00 90.00°
Sites, in units of the cell vectors:
Au 0.500 0.000 0.000
Au 0.000 0.500 0.000
Au 0.000 0.000 0.500
Si 0.500 0.500 0.500
B 0.000 0.000 0.000


[20]
Here is an optimized crystal structure of Na2CrGe from the Alexandria database. Energies are from PBE.

Summary:
- Formation enthalpy at 0 K: 460 meV per atom

Cell: 10.937 10.937 8.110 Å, 47.60 47.60 90.00°
Sites, in units of the cell vectors:
Na 0.875 0.054 0.750
Na 0.946 0.625 0.250
Na 0.375 0.196 0.750
Na 0.804 0.125 0.250
Ge 0.000 0.000 0.000
Ge 0.750 0.250 0.500
Cr 0.250 0.750 0.500
Cr 0.500 0.500 0.000


| no. | D(E_F) (states/eV/atom) | VASP energy (eV per atom) |
| --- | --- | --- |
| 1 | 0.26 | -3.434 |
| 2 | 1.51 | -9.857 |
| 3 | 1.18 | -3.225 |
| 4 | 0.41 | -3.460 |
| 5 | 0.67 | -3.195 |
| 6 | 0.24 | -6.617 |
| 7 | 0.59 | -1.980 |
| 8 | 1.01 | -9.705 |
| 9 | 0.76 | -1.676 |
| 10 | 0.48 | -4.370 |
| 11 | 1.04 | -4.448 |
| 12 | 0.00 | -4.700 |
| 13 | 0.34 | -6.901 |
| 14 | 0.68 | -7.453 |
| 15 | 0.62 | -4.807 |
| 16 | 1.25 | -3.247 |
| 17 | 0.70 | -8.599 |
| 18 | 0.85 | -6.045 |
| 19 | 0.28 | -3.896 |
| 20 | 0.45 | -3.760 |